Entry 1:
First-principles (PBE) data for an optimized crystal structure of Ho3Si4Pd, as listed in the Open Quantum Materials Database.

Geometry as extended XYZ:
```
8
Lattice="5.672 0.000 0.000 0.000 3.799 0.000 -0.800 0.000 7.407" Properties=species:S:1:pos:R:3 pbc="T T T"
Ho 0.000 0.000 0.000
Ho 0.739 0.000 3.548
Ho 2.060 1.899 6.286
Si 1.486 1.899 1.530
Si 2.959 0.000 1.202
Si 3.530 0.000 4.657
Si 5.005 1.899 5.229
Pd 3.508 1.899 2.989
```

Calculated values
VASP energy, eV/atom: -5.756

---

Entry 2:
First-principles (PBE) data for an optimized crystal structure of Cs2CdFeC6N6, as listed in the Open Quantum Materials Database.

Geometry as extended XYZ:
```
16
Lattice="0.000 5.336 5.336 5.336 0.000 5.336 5.336 5.336 0.000" Properties=species:S:1:pos:R:3 pbc="T T T"
Cs 2.668 2.668 2.668
Cs 8.004 8.004 8.004
Cd 0.000 0.000 0.000
Fe 5.336 5.336 5.336
C 5.336 5.336 3.477
C 5.336 3.477 5.336
C 7.195 5.336 5.336
C 3.477 5.336 5.336
C 5.336 7.195 5.336
C 5.336 5.336 7.195
N 5.336 5.336 2.298
N 5.336 2.298 5.336
N 8.375 5.336 5.336
N 2.298 5.336 5.336
N 5.336 8.375 5.336
N 5.336 5.336 8.375
```

Calculated values
VASP energy, eV/atom: -7.379

---

Entry 3:
First-principles (PBE) data for an optimized crystal structure of ScSbPt, as listed in the Open Quantum Materials Database.

Geometry as extended XYZ:
```
9
Lattice="7.240 0.000 0.000 -3.620 6.270 0.000 0.000 0.000 4.000" Properties=species:S:1:pos:R:3 pbc="T T T"
Sc -2.205 3.820 0.000
Sc 1.415 2.451 0.000
Sc 4.410 0.000 0.000
Sb -0.999 1.730 2.000
Sb 1.998 0.000 2.000
Sb 2.621 4.540 2.000
Pt 0.000 0.000 0.000
Pt 0.000 4.180 2.000
Pt 3.620 2.090 2.000
```

Calculated values
VASP energy, eV/atom: -6.431

---

Entry 4:
First-principles (PBE) data for an optimized crystal structure of CsMgU, as listed in the Open Quantum Materials Database.

Geometry as extended XYZ:
```
3
Lattice="0.000 3.890 3.890 3.890 0.000 3.890 3.890 3.890 0.000" Properties=species:S:1:pos:R:3 pbc="T T T"
Cs 0.000 0.000 0.000
Mg 1.945 1.945 1.945
U 5.835 5.835 5.835
```

Calculated values
Excess energy over the best structure of this formula in the dataset, meV/atom: 238.1
VASP energy, eV/atom: -2.712

---

Entry 5:
First-principles (PBE) data for an optimized crystal structure of RbAuSO, as listed in the Open Quantum Materials Database.

Geometry as extended XYZ:
```
8
Lattice="4.682 0.000 0.000 0.000 4.682 0.000 0.000 0.000 8.933" Properties=species:S:1:pos:R:3 pbc="T T T"
Rb 1.171 3.512 0.000
Rb 3.512 1.171 0.000
Au 1.171 1.171 4.311
Au 3.512 3.512 4.622
S 1.171 1.171 1.979
S 3.512 3.512 6.954
O 1.171 3.512 4.466
O 3.512 1.171 4.466
```

Calculated values
Excess energy over the best structure of this formula in the dataset, meV/atom: 880.3
VASP energy, eV/atom: -3.112

---

Entry 6:
First-principles (PBE) data for an optimized crystal structure of FeIr2, as listed in the Open Quantum Materials Database.

Geometry as extended XYZ:
```
6
Lattice="0.000 5.009 5.009 5.009 0.000 5.009 5.009 5.009 0.000" Properties=species:S:1:pos:R:3 pbc="T T T"
Fe 1.252 1.252 1.252
Fe 8.766 8.766 8.766
Ir 0.000 0.000 0.000
Ir 2.505 2.505 0.000
Ir 2.505 0.000 2.505
Ir 0.000 2.505 2.505
```

Calculated values
VASP energy, eV/atom: -5.577

---

Entry 7:
First-principles (PBE) data for an optimized crystal structure of NdZn, as listed in the Open Quantum Materials Database.

Geometry as extended XYZ:
```
10
Lattice="5.029 0.000 0.000 0.000 9.562 2.563 0.000 -9.562 2.563" Properties=species:S:1:pos:R:3 pbc="T T T"
Nd 0.000 0.000 0.000
Nd 0.000 -5.945 2.612
Nd 0.000 5.945 2.612
Nd 2.514 -3.224 2.628
Nd 2.514 3.224 2.628
Zn 0.000 -1.576 2.571
Zn 0.000 1.576 2.571
Zn 2.514 -7.956 2.638
Zn 2.514 0.000 2.543
Zn 2.514 7.956 2.638
```

Calculated values
VASP energy, eV/atom: -3.210

---

Entry 8:
First-principles (PBE) data for an optimized crystal structure of GeIrPd2, as listed in the Open Quantum Materials Database.

Geometry as extended XYZ:
```
4
Lattice="0.000 3.109 3.109 3.109 0.000 3.109 3.109 3.109 0.000" Properties=species:S:1:pos:R:3 pbc="T T T"
Ge 0.000 0.000 0.000
Ir 1.555 1.555 1.555
Pd 3.109 3.109 3.109
Pd 4.664 4.664 4.664
```

Calculated values
VASP energy, eV/atom: -6.076

---

- Which value of VASP energy does entry 8 give?
  -6.076 eV/atom

---

Repeat the seventh record exactly.
First-principles (PBE) data for an optimized crystal structure of NdZn, as listed in the Open Quantum Materials Database.

Geometry as extended XYZ:
```
10
Lattice="5.029 0.000 0.000 0.000 9.562 2.563 0.000 -9.562 2.563" Properties=species:S:1:pos:R:3 pbc="T T T"
Nd 0.000 0.000 0.000
Nd 0.000 -5.945 2.612
Nd 0.000 5.945 2.612
Nd 2.514 -3.224 2.628
Nd 2.514 3.224 2.628
Zn 0.000 -1.576 2.571
Zn 0.000 1.576 2.571
Zn 2.514 -7.956 2.638
Zn 2.514 0.000 2.543
Zn 2.514 7.956 2.638
```

Calculated values
VASP energy, eV/atom: -3.210